Record 1
# MnTe2Au PBE relaxed
# - uncorrected formation energy (eV per atom) = -0.08
# - E (eV/cell) = -76.19
data_MnTe2Au
_chemical_formula_sum 'Mn4 Te8 Au4'
_cell_length_a 5.8448
_cell_length_b 12.5194
_cell_length_c 6.0541
_cell_angle_alpha 90.00
_cell_angle_beta 90.00
_cell_angle_gamma 90.00
_space_group_name_H-M_alt 'I b a m'
_space_group_IT_number 72
_space_group_name_Hall '-I 2 2c'
loop_
_atom_site_label
_atom_site_type_symbol
_atom_site_fract_x
_atom_site_fract_y
_atom_site_fract_z
Mn1 Mn 0.0000 0.0000 0.2500
Te1 Te 0.2195 0.1429 0.0000
Au1 Au 0.0000 0.5000 0.2500



Record 2
# CaBeZnHS PBE relaxed
# - E (eV/cell) = -33.62
data_CaBeZnHS
_chemical_formula_sum 'Ca2 Be2 Zn2 H2 S2'
_cell_length_a 8.4764
_cell_length_b 3.5780
_cell_length_c 6.0039
_cell_angle_alpha 90.00
_cell_angle_beta 111.72
_cell_angle_gamma 90.00
_space_group_name_H-M_alt 'C 1 m 1'
_space_group_IT_number 8
_space_group_name_Hall 'C -2y'
loop_
_atom_site_label
_atom_site_type_symbol
_atom_site_fract_x
_atom_site_fract_y
_atom_site_fract_z
Ca1 Ca 0.0000 0.0000 0.0000
Be1 Be 0.1002 0.0000 0.5319
Zn1 Zn 0.3993 0.0000 0.3321
H1 H 0.2097 0.0000 0.3931
S1 S 0.1411 0.5000 0.7568



Record 3
# TaTl2Sb PBE relaxed
# - uncorrected formation energy (eV per atom) = 0.30
# - E (eV/cell) = -19.51
data_TaTl2Sb
_chemical_formula_sum 'Ta1 Tl2 Sb1'
_cell_length_a 3.5436
_cell_length_b 3.5436
_cell_length_c 8.3267
_cell_angle_alpha 90.00
_cell_angle_beta 90.00
_cell_angle_gamma 90.00
_space_group_name_H-M_alt 'P 4 m m'
_space_group_IT_number 99
_space_group_name_Hall 'P 4 -2'
loop_
_atom_site_label
_atom_site_type_symbol
_atom_site_fract_x
_atom_site_fract_y
_atom_site_fract_z
Ta1 Ta 0.0000 0.0000 0.0000
Tl1 Tl 0.0000 0.0000 0.5438
Tl2 Tl 0.5000 0.5000 0.2356
Sb1 Sb 0.5000 0.5000 0.8407



Record 4
# HgPb2I PBE relaxed
# - uncorrected formation energy (eV per atom) = 0.18
# - E (eV/cell) = -34.20
data_HgPb2I
_chemical_formula_sum 'Hg4 Pb8 I4'
_cell_length_a 6.6511
_cell_length_b 6.6511
_cell_length_c 16.2321
_cell_angle_alpha 90.00
_cell_angle_beta 90.00
_cell_angle_gamma 90.00
_space_group_name_H-M_alt 'I -4 2 d'
_space_group_IT_number 122
_space_group_name_Hall 'I -4 2bw'
loop_
_atom_site_label
_atom_site_type_symbol
_atom_site_fract_x
_atom_site_fract_y
_atom_site_fract_z
Hg1 Hg 0.0000 0.0000 0.0000
Pb1 Pb 0.2031 0.2500 0.1250
I1 I 0.0000 0.0000 0.5000



Record 5
# LiInAs2 PBE relaxed
# - DFT formation energy (eV/atom) = -0.0958
# - E (eV/cell) = -28.67
data_LiInAs2
_chemical_formula_sum 'Li2 In2 As4'
_cell_length_a 4.3682
_cell_length_b 4.3682
_cell_length_c 8.4743
_cell_angle_alpha 90.00
_cell_angle_beta 90.00
_cell_angle_gamma 90.00
_space_group_name_H-M_alt 'I 4/m m m'
_space_group_IT_number 139
_space_group_name_Hall '-I 4 2'
loop_
_atom_site_label
_atom_site_type_symbol
_atom_site_fract_x
_atom_site_fract_y
_atom_site_fract_z
Li1 Li 0.0000 0.0000 0.0000
In1 In 0.0000 0.0000 0.5000
As1 As 0.0000 0.5000 0.2500



Record 6
# ZrTaNb4 PBE relaxed
# - DFT formation energy (eV/atom) = 0.0240
# - E (eV/cell) = -60.54
data_ZrTaNb4
_chemical_formula_sum 'Zr1 Ta1 Nb4'
_cell_length_a 3.3400
_cell_length_b 5.5268
_cell_length_c 6.7516
_cell_angle_alpha 107.47
_cell_angle_beta 90.64
_cell_angle_gamma 106.19
_space_group_name_H-M_alt 'P -1'
_space_group_IT_number 2
_space_group_name_Hall '-P 1'
loop_
_atom_site_label
_atom_site_type_symbol
_atom_site_fract_x
_atom_site_fract_y
_atom_site_fract_z
Zr1 Zr 0.0000 0.0000 0.0000
Ta1 Ta 0.0000 0.0000 0.5000
Nb1 Nb 0.3279 0.6539 0.6559
Nb2 Nb 0.3298 0.6548 0.1716



Record 7
# ScAlB2 PBE relaxed
# - DFT formation energy (eV/atom) = 0.3226
# - E (eV/cell) = -88.55
data_ScAlB2
_chemical_formula_sum 'Sc4 Al4 B8'
_cell_length_a 3.9321
_cell_length_b 3.9321
_cell_length_c 14.2803
_cell_angle_alpha 90.00
_cell_angle_beta 90.00
_cell_angle_gamma 90.00
_space_group_name_H-M_alt 'I 41/a m d'
_space_group_IT_number 141
loop_
_space_group_symop_operation_xyz
'x,y,z'
'-x,-y,-z'
'-y+1/4,x+3/4,z+1/4'
'y+1/4,-x+3/4,-z+1/4'
'-x+1/2,-y,z+1/2'
'x+1/2,y,-z+1/2'
'y+1/4,-x+1/4,z+3/4'
'-y+1/4,x+1/4,-z+3/4'
'x,-y,-z'
'-x,y,z'
'-y+1/4,-x+1/4,-z+3/4'
'y+1/4,x+1/4,z+3/4'
'-x+1/2,y,-z+1/2'
'x+1/2,-y,z+1/2'
'y+1/4,x+3/4,-z+1/4'
'-y+1/4,-x+3/4,z+1/4'
'x+1/2,y+1/2,z+1/2'
'-x+1/2,-y+1/2,-z+1/2'
'-y+3/4,x+1/4,z+3/4'
'y+3/4,-x+1/4,-z+3/4'
'-x,-y+1/2,z'
'x,y+1/2,-z'
'y+3/4,-x+3/4,z+1/4'
'-y+3/4,x+3/4,-z+1/4'
'x+1/2,-y+1/2,-z+1/2'
'-x+1/2,y+1/2,z+1/2'
'-y+3/4,-x+3/4,-z+1/4'
'y+3/4,x+3/4,z+1/4'
'-x,y+1/2,-z'
'x,-y+1/2,z'
'y+3/4,x+1/4,-z+3/4'
'-y+3/4,-x+1/4,z+3/4'
loop_
_atom_site_label
_atom_site_type_symbol
_atom_site_fract_x
_atom_site_fract_y
_atom_site_fract_z
Sc1 Sc 0.0000 0.2500 0.3750
Al1 Al 0.0000 0.2500 0.8750
B1 B 0.0000 0.0000 0.0000



Record 8
# SmHo2Pt PBE relaxed
# - DFT formation energy (eV/atom) = -0.7042
# - E (eV/cell) = -90.93
data_SmHo2Pt
_chemical_formula_sum 'Sm4 Ho8 Pt4'
_cell_length_a 7.1027
_cell_length_b 9.5844
_cell_length_c 6.5245
_cell_angle_alpha 90.00
_cell_angle_beta 90.00
_cell_angle_gamma 90.00
_space_group_name_H-M_alt 'P n m a'
_space_group_IT_number 62
_space_group_name_Hall '-P 2ac 2n'
loop_
_atom_site_label
_atom_site_type_symbol
_atom_site_fract_x
_atom_site_fract_y
_atom_site_fract_z
Sm1 Sm 0.0230 0.2500 0.1321
Ho1 Ho 0.1779 0.0618 0.6748
Pt1 Pt 0.1141 0.7500 0.4365



Look up the E of the eighth one.
-90.93 eV/cell



Among the records above, which one has the highest E?
TaTl2Sb



What is the formula in the seventh record?
ScAlB2



Number 7 is which compound?
ScAlB2